A geometry-optimized DyEr3Tl2C2 structure, computed with PBE.

Lattice parameters (Å, degrees): 3.589 3.589 16.173 90.00 90.00 120.00
Fractional positions:
Tl 0.667 0.333 0.749
Tl 0.000 0.000 0.250
Er 0.667 0.333 0.083
Er 0.667 0.333 0.418
Er 0.000 0.000 0.582
C 0.333 0.667 0.500
C 0.333 0.667 0.001
Dy 0.000 0.000 0.917

- total magnetization (μB per formula unit) = 0.211
- electronic total energy (eV per atom) = -5.577
- crystal system = trigonal
- symmetry = P3m1

A geometry-optimized Dy3ErTl2C2 structure, computed with PBE.

Lattice parameters (Å, degrees): 3.605 3.605 16.270 90.00 90.00 120.00
Last column: magnetic moment on the atom in μB.
Fractional positions:
Dy 0.333 0.667 0.583  0.08
Dy 0.333 0.667 0.918  0.07
Dy 0.000 0.000 0.417  0.03
C 0.667 0.333 0.001  0.00
C 0.667 0.333 0.500  -0.01
Tl 0.333 0.667 0.249  0.00
Tl 0.000 0.000 0.750  0.03
Er 0.000 0.000 0.083  0.01

- total magnetization (μB per formula unit) = 0.347
- electronic total energy (eV per atom) = -5.568
- crystal system = trigonal
- symmetry = P3m1

A geometry-optimized Gd2Dy2CF5 structure, computed with PBE.

Lattice parameters (Å, degrees): 7.545 7.545 6.683 114.38 114.38 27.06
Fractional positions:
C 0.500 0.500 0.000
Dy 0.323 0.323 0.822
Dy 0.677 0.677 0.178
F 0.178 0.178 0.421
F 0.182 0.182 0.941
F 0.822 0.822 0.579
F 0.500 0.500 0.500
F 0.818 0.818 0.059
Gd 0.003 0.003 0.760
Gd 0.997 0.997 0.240

- total magnetization (μB per formula unit) = 0.000
- electronic total energy (eV per atom) = -6.349
- crystal system = monoclinic
- symmetry = C2/m

A geometry-optimized GdDyCF2 structure, computed with PBE.

Lattice parameters (Å, degrees): 3.660 3.660 6.379 90.00 90.00 120.00
Fractional positions:
Gd 0.333 0.667 0.212
C 0.000 0.000 0.997
Dy 0.667 0.333 0.785
F 0.667 0.333 0.390
F 0.333 0.667 0.616

- total magnetization (μB per formula unit) = 0.000
- electronic total energy (eV per atom) = -6.850
- crystal system = trigonal
- symmetry = P3m1

A geometry-optimized DyHoCF2 structure, computed with PBE.

Lattice parameters (Å, degrees): 3.615 3.615 6.319 90.00 90.00 120.00
Fractional positions:
C 0.000 0.000 0.002
Ho 0.333 0.667 0.213
Dy 0.667 0.333 0.789
F 0.667 0.333 0.384
F 0.333 0.667 0.613

- total magnetization (μB per formula unit) = 0.000
- electronic total energy (eV per atom) = -6.856
- crystal system = trigonal
- symmetry = P3m1

A geometry-optimized Dy2Ho2CIF4 structure, computed with PBE.

Lattice parameters (Å, degrees): 7.446 7.446 8.231 120.04 120.04 28.27
Fractional positions:
Ho 0.985 0.985 0.795
Ho 0.015 0.015 0.205
F 0.208 0.208 0.330
F 0.823 0.823 0.052
F 0.792 0.792 0.670
F 0.177 0.177 0.948
Dy 0.686 0.686 0.144
Dy 0.314 0.314 0.856
I 0.500 0.500 0.500
C 0.500 0.500 0.000

- total magnetization (μB per formula unit) = 0.001
- electronic total energy (eV per atom) = -5.998
- crystal system = monoclinic
- symmetry = C2/m

A geometry-optimized Dy4CI3F2 structure, computed with PBE.

Lattice parameters (Å, degrees): 8.821 8.821 8.249 93.32 93.32 24.92
Fractional positions:
F 0.868 0.868 0.782
F 0.132 0.132 0.218
I 0.185 0.185 0.782
I 0.500 0.500 0.500
I 0.815 0.815 0.218
Dy 0.363 0.363 0.944
Dy 0.637 0.637 0.056
Dy 0.996 0.996 0.193
Dy 0.004 0.004 0.807
C 0.500 0.500 0.000

- total magnetization (μB per formula unit) = 0.002
- electronic total energy (eV per atom) = -5.331
- crystal system = monoclinic
- symmetry = C2/m

A geometry-optimized Dy4CI2F3 structure, computed with PBE.

Lattice parameters (Å, degrees): 8.703 8.703 6.905 92.99 92.99 24.09
Fractional positions:
Dy 0.006 0.006 0.764
Dy 0.640 0.640 0.063
Dy 0.360 0.360 0.937
Dy 0.994 0.994 0.236
F 0.129 0.129 0.274
F 0.500 0.500 0.500
F 0.871 0.871 0.726
I 0.813 0.813 0.269
I 0.187 0.187 0.731
C 0.500 0.500 0.000

- total magnetization (μB per formula unit) = 0.005
- electronic total energy (eV per atom) = -5.638
- crystal system = monoclinic
- symmetry = C2/m

A geometry-optimized Dy2Sc2CI2F3 structure, computed with PBE.

Lattice parameters (Å, degrees): 8.473 8.473 6.767 90.10 90.10 24.25
Fractional positions:
Dy 0.990 0.990 0.761
Dy 0.010 0.010 0.239
I 0.195 0.195 0.252
I 0.805 0.805 0.748
F 0.872 0.872 0.255
F 0.128 0.128 0.745
F 0.500 0.500 0.500
Sc 0.368 0.368 0.059
Sc 0.632 0.632 0.941
C 0.500 0.500 0.000

- total magnetization (μB per formula unit) = 0.006
- electronic total energy (eV per atom) = -5.975
- crystal system = monoclinic
- symmetry = C2/m

A geometry-optimized Dy2Sc2CI4F structure, computed with PBE.

Lattice parameters (Å, degrees): 10.186 10.186 7.614 100.51 100.51 21.06
Fractional positions:
Dy 0.000 0.000 0.223
Dy 0.000 0.000 0.777
F 0.500 0.500 0.500
I 0.844 0.844 0.659
I 0.156 0.156 0.341
I 0.157 0.157 0.814
I 0.843 0.843 0.186
Sc 0.387 0.387 0.945
Sc 0.613 0.613 0.055
C 0.500 0.500 0.000

- total magnetization (μB per formula unit) = 0.019
- electronic total energy (eV per atom) = -5.219
- crystal system = monoclinic
- symmetry = C2/m

A geometry-optimized Sm2Dy2CI3F2 structure, computed with PBE.

Lattice parameters (Å, degrees): 8.921 8.921 8.176 94.46 94.46 24.86
Fractional positions:
C 0.500 0.500 0.000
Dy 0.003 0.003 0.806
Dy 0.997 0.997 0.194
F 0.130 0.130 0.234
F 0.870 0.870 0.766
Sm 0.360 0.360 0.939
Sm 0.640 0.640 0.061
I 0.181 0.181 0.773
I 0.500 0.500 0.500
I 0.819 0.819 0.227

- total magnetization (μB per formula unit) = 0.014
- electronic total energy (eV per atom) = -5.356
- crystal system = monoclinic
- symmetry = C2/m

A geometry-optimized DyNbCF2 structure, computed with PBE.

Lattice parameters (Å, degrees): 3.349 3.349 6.701 90.00 90.00 120.00
Fractional positions:
C 0.000 0.000 0.024
Dy 0.667 0.333 0.806
F 0.333 0.667 0.622
F 0.667 0.333 0.372
Nb 0.333 0.667 0.176

- total magnetization (μB per formula unit) = 0.000
- electronic total energy (eV per atom) = -7.478
- crystal system = trigonal
- symmetry = P3m1